# 1
A geometry-optimized K3La3ReO8 structure, computed with PBE.

Cell: 7.5241 7.5241 7.5241 Å, 56.90 56.90 56.90°
Positions (direct):
K 0.0000 0.5000 0.5000
K 0.5000 0.0000 0.5000
K 0.5000 0.5000 0.0000
La 0.0000 0.0000 0.5000
La 0.0000 0.5000 0.0000
La 0.5000 0.0000 0.0000
Re 0.5000 0.5000 0.5000
O 0.2306 0.2306 0.2306
O 0.2654 0.7043 0.7043
O 0.2957 0.2957 0.7346
O 0.2957 0.7346 0.2957
O 0.7043 0.2654 0.7043
O 0.7043 0.7043 0.2654
O 0.7346 0.2957 0.2957
O 0.7694 0.7694 0.7694

Computed properties:
The space-group type is No. 166. The calculation puts the formation energy (no corrections) at -2358 meV per atom.

---

# 2
A geometry-optimized K2La2RhO6 structure, computed with PBE.

Cell: 6.0371 6.0371 6.5821 Å, 96.98 96.98 119.10°
Positions (direct):
K 0.1517 0.8483 0.0000
K 0.8483 0.1517 0.0000
La 0.3365 0.6635 0.5000
La 0.6635 0.3365 0.5000
Rh 0.0000 0.0000 0.5000
O 0.0402 0.3421 0.6707
O 0.2351 0.2351 0.3195
O 0.3421 0.0402 0.6707
O 0.6579 0.9598 0.3293
O 0.7649 0.7649 0.6805
O 0.9598 0.6579 0.3293

Computed properties:
The space-group type is No. 12. The calculation puts the formation energy (no corrections) at -2072 meV per atom. The density of states at the Fermi level is 8.241 states/eV/cell.

---

# 3
A geometry-optimized KLa2RhO6 structure, computed with PBE.

Cell: 5.6851 6.3080 10.3287 Å, 90.00 122.46 90.00°
Positions (direct):
K 0.0000 0.0000 0.0000
K 0.0000 0.5000 0.5000
La 0.2127 0.0352 0.7240
La 0.2127 0.4648 0.2240
La 0.7873 0.5352 0.7760
La 0.7873 0.9648 0.2760
Rh 0.5000 0.0000 0.5000
Rh 0.5000 0.5000 0.0000
O 0.1800 0.1504 0.4789
O 0.1800 0.3496 0.9789
O 0.2318 0.7401 0.8779
O 0.2318 0.7599 0.3779
O 0.4363 0.1267 0.3034
O 0.4363 0.3733 0.8034
O 0.5637 0.6267 0.1966
O 0.5637 0.8733 0.6966
O 0.7682 0.2401 0.6221
O 0.7682 0.2599 0.1221
O 0.8200 0.6504 0.0211
O 0.8200 0.8496 0.5211

Computed properties:
The space-group type is No. 14. The calculation puts the formation energy (no corrections) at -2152 meV per atom. The density of states at the Fermi level is 10.785 states/eV/cell.

---

Among the records above, which one has the highest formation energy (no corrections)? K2La2RhO6

---

Which of these has the highest formation energy (no corrections)? K2La2RhO6